1.
DFT (PBE) results for a relaxed KTiAl2Te crystal.

## Properties
Theoretical density   2.7 g/cm3
Energy   -11.6 eV per cell
E_form (uncorrected)   1.597 eV per atom
Size of the total moment   3.40 μB/cell

The structure in POSCAR format:
```
KTiAl2Te
1.0
-5.023 2.565 0.303
-1.771 -3.840 3.147
1.752 2.897 4.521
K Te Al Ti
1 1 2 1
Direct
0.000 0.000 0.000
0.500 0.500 0.500
0.000 0.000 0.500
0.500 0.000 0.000
0.000 0.500 0.000
```

---

2.
DFT (PBE) results for a relaxed K2TiAlTe4 crystal.

## Properties
Theoretical density   3.6 g/cm3
Energy   -32.2 eV per cell
E_form (uncorrected)   -0.723 eV per atom
Size of the total moment   1.00 μB/cell

The structure in POSCAR format:
```
K2TiAlTe4
1.0
-6.046 -4.557 -2.292
-1.676 -1.567 7.570
0.846 6.988 -2.493
K Ti Al Te
2 1 1 4
Direct
0.485 0.985 0.971
0.235 0.235 0.471
0.736 0.736 0.472
0.986 0.486 0.972
0.694 0.602 0.714
0.870 0.452 0.230
0.360 0.779 0.230
0.020 0.113 0.714
```

---

3.
DFT (PBE) results for a relaxed K3Tm2AlTe6 crystal.

## Properties
Theoretical density   5.1 g/cm3
Energy   -48.2 eV per cell
E_form (uncorrected)   -1.110 eV per atom
Size of the total moment   0.00 μB/cell

The structure in POSCAR format:
```
K3Tm2AlTe6
1.0
-0.302 0.463 7.574
2.240 -6.450 -3.323
7.130 4.629 -1.274
K Tm Al Te
3 2 1 6
Direct
0.173 0.827 0.500
0.827 0.173 0.500
0.500 0.500 0.500
0.334 0.666 0.000
0.666 0.334 0.000
0.000 0.000 0.000
0.934 0.620 0.803
0.753 0.753 0.199
0.066 0.380 0.197
0.620 0.934 0.803
0.247 0.247 0.801
0.380 0.066 0.197
```

---

Copy entry 1 word for word.
DFT (PBE) results for a relaxed KTiAl2Te crystal.

## Properties
Theoretical density   2.7 g/cm3
Energy   -11.6 eV per cell
E_form (uncorrected)   1.597 eV per atom
Size of the total moment   3.40 μB/cell

The structure in POSCAR format:
```
KTiAl2Te
1.0
-5.023 2.565 0.303
-1.771 -3.840 3.147
1.752 2.897 4.521
K Te Al Ti
1 1 2 1
Direct
0.000 0.000 0.000
0.500 0.500 0.500
0.000 0.000 0.500
0.500 0.000 0.000
0.000 0.500 0.000
```